Entry 1:
Density functional theory data (PBE-GGA) for a relaxed structure of CsLaAg2Sb.

Summary:
Raw formation energy   0.140 eV per atom
Total magnetization   0.00 μB per formula unit

abc: 6.1424 6.0505 6.1424
angles: 90.00 90.00 90.00
Fractional coordinates of all 5 atoms:
Cs1 0.5000 0.5000 0.5000
Sb1 0.0000 0.5000 0.0000
Ag1 0.0000 0.0000 0.5000
Ag2 0.5000 0.0000 0.0000
La1 0.0000 0.0000 0.0000

***

Entry 2:
Density functional theory data (PBE-GGA) for a relaxed structure of Mn2CdAu.

Summary:
Energy relative to the elements   462.6 meV/atom
Total magnetization   7.89 μB per formula unit

abc: 7.4097 7.4097 5.9352
angles: 51.38 51.38 90.00
Each line ends with the local moment (μB).
Fractional coordinates of all 8 atoms:
Mn1 0.6453 0.1250 0.2500  3.76
Mn2 0.1047 0.6250 0.2500  3.77
Mn3 0.3750 0.3547 0.7500  3.76
Mn4 0.8750 0.8953 0.7500  3.76
Au1 0.0000 0.0000 0.0000  0.07
Au2 0.7500 0.2500 0.5000  0.07
Cd1 0.5000 0.5000 0.0000  -0.04
Cd2 0.2500 0.7500 0.5000  -0.04

***

Entry 3:
Density functional theory data (PBE-GGA) for a relaxed structure of MnFeIr.

Summary:
Energy relative to the elements   -35.2 meV/atom
Total magnetization   0.05 μB per formula unit

abc: 5.7559 5.7559 2.6240
angles: 76.82 76.82 26.35
Each line ends with the local moment (μB).
Fractional coordinates of all 3 atoms:
Fe1 0.9951 0.9951 0.0049  1.92
Ir1 0.6667 0.6667 0.3333  0.07
Mn1 0.3382 0.3382 0.6618  -1.98

***

Entry 4:
Density functional theory data (PBE-GGA) for a relaxed structure of TlTc5.

Summary:
Energy relative to the elements   304.6 meV/atom
Total magnetization   0.00 μB per formula unit

abc: 7.6183 7.6183 4.4460
angles: 90.00 90.00 158.48
Fractional coordinates of all 6 atoms:
Tl1 0.1075 0.8925 0.5000
Tc1 0.9908 0.0092 0.0000
Tc2 0.3373 0.6627 0.0000
Tc3 0.6817 0.3183 0.0000
Tc4 0.4333 0.5667 0.5000
Tc5 0.7827 0.2173 0.5000

***

Entry 5:
Density functional theory data (PBE-GGA) for a relaxed structure of CsGaSe2.

Summary:
Raw formation energy   -0.800 eV per atom
Total magnetization   0.00 μB per formula unit

abc: 20.3037 5.5212 6.9464
angles: 90.00 130.74 90.00
Fractional coordinates of all 16 atoms:
Cs1 0.1844 0.1491 0.8604
Cs2 0.8156 0.8509 0.1396
Cs3 0.3156 0.6491 0.6396
Cs4 0.6844 0.3509 0.3604
Ga1 0.4952 0.2063 0.4186
Ga2 0.5048 0.7937 0.5814
Ga3 0.0048 0.7063 0.0814
Ga4 0.9952 0.2937 0.9186
Se1 0.8804 0.9869 0.7680
Se2 0.1196 0.0131 0.2320
Se3 0.6196 0.4869 0.7320
Se4 0.3804 0.5131 0.2680
Se5 0.0380 0.6696 0.5019
Se6 0.9620 0.3304 0.4981
Se7 0.4620 0.1696 0.9981
Se8 0.5380 0.8304 0.0019

***

Entry 6:
Density functional theory data (PBE-GGA) for a relaxed structure of CaLaGaIr.

Summary:
Energy relative to the elements   -609.6 meV/atom
Total magnetization   0.00 μB per formula unit

abc: 4.2540 4.0341 6.2374
angles: 90.00 109.94 90.00
Fractional coordinates of all 4 atoms:
Ca1 0.1483 0.0000 0.2965
La1 0.8638 0.5000 0.7275
Ga1 0.5649 0.5000 0.1298
Ir1 0.4231 0.0000 0.8462

***

Entry 7:
Density functional theory data (PBE-GGA) for a relaxed structure of SrMg3Tl3.

Summary:
Energy relative to the elements   482.1 meV/atom
Total magnetization   0.00 μB per formula unit

abc: 9.8966 9.8966 9.8966
angles: 60.00 60.00 60.00
Fractional coordinates of all 14 atoms:
Sr1 0.2500 0.2500 0.2500
Sr2 0.7500 0.7500 0.7500
Mg1 0.1502 0.8498 0.8498
Mg2 0.1502 0.8498 0.1502
Mg3 0.1502 0.1502 0.8498
Mg4 0.8498 0.1502 0.8498
Mg5 0.8498 0.1502 0.1502
Mg6 0.8498 0.8498 0.1502
Tl1 0.3421 0.6579 0.3421
Tl2 0.3421 0.6579 0.6579
Tl3 0.3421 0.3421 0.6579
Tl4 0.6579 0.3421 0.6579
Tl5 0.6579 0.3421 0.3421
Tl6 0.6579 0.6579 0.3421

***

Entry 8:
Density functional theory data (PBE-GGA) for a relaxed structure of RbMnBeFe2.

Summary:
Energy relative to the elements   1273.4 meV/atom
Total magnetization   4.74 μB per formula unit

abc: 4.4783 4.6367 4.4783
angles: 90.00 90.00 90.00
Each line ends with the local moment (μB).
Fractional coordinates of all 5 atoms:
Be1 0.0000 0.5000 0.0000  -0.02
Mn1 0.0000 0.0000 0.0000  -0.35
Fe1 0.0000 0.0000 0.5000  2.67
Fe2 0.5000 0.0000 0.0000  2.32
Rb1 0.5000 0.5000 0.5000  0.02

***

Entry 9:
Density functional theory data (PBE-GGA) for a relaxed structure of Sc2Si2SnRu5.

Summary:
Raw formation energy   -0.658 eV per atom
Total magnetization   0.00 μB per formula unit

abc: 3.2230 9.8884 9.8884
angles: 90.00 90.00 90.00
Fractional coordinates of all 20 atoms:
Sc1 0.0000 0.6730 0.1730
Sc2 0.0000 0.3270 0.8270
Sc3 0.0000 0.1730 0.3270
Sc4 0.0000 0.8270 0.6730
Si1 0.0000 0.1265 0.6265
Si2 0.0000 0.8735 0.3735
Si3 0.0000 0.6265 0.8735
Si4 0.0000 0.3735 0.1265
Sn1 0.0000 0.0000 0.0000
Sn2 0.0000 0.5000 0.5000
Ru1 0.5000 0.2106 0.0701
Ru2 0.5000 0.7894 0.9299
Ru3 0.5000 0.0701 0.7894
Ru4 0.5000 0.7106 0.4299
Ru5 0.5000 0.9299 0.2106
Ru6 0.5000 0.2894 0.5701
Ru7 0.5000 0.5701 0.7106
Ru8 0.5000 0.4299 0.2894
Ru9 0.5000 0.5000 0.0000
Ru10 0.5000 0.0000 0.5000

***

Entry 10:
Density functional theory data (PBE-GGA) for a relaxed structure of Y2RhBr.

Summary:
Raw formation energy   -0.597 eV per atom
Total magnetization   0.00 μB per formula unit

abc: 5.0650 5.0650 5.0650
angles: 60.00 60.00 60.00
Fractional coordinates of all 4 atoms:
Y1 0.2500 0.2500 0.2500
Y2 0.7500 0.7500 0.7500
Rh1 0.5000 0.5000 0.5000
Br1 0.0000 0.0000 0.0000

***

Question: Which value of total magnetization does entry 3 give?
Answer: 0.05 μB per formula unit

***

Question: total magnetization of number 8 (RbMnBeFe2)?
Answer: 4.74 μB per formula unit

***

Repeat the eighth record exactly.
Density functional theory data (PBE-GGA) for a relaxed structure of RbMnBeFe2.

Summary:
Energy relative to the elements   1273.4 meV/atom
Total magnetization   4.74 μB per formula unit

abc: 4.4783 4.6367 4.4783
angles: 90.00 90.00 90.00
Each line ends with the local moment (μB).
Fractional coordinates of all 5 atoms:
Be1 0.0000 0.5000 0.0000  -0.02
Mn1 0.0000 0.0000 0.0000  -0.35
Fe1 0.0000 0.0000 0.5000  2.67
Fe2 0.5000 0.0000 0.0000  2.32
Rb1 0.5000 0.5000 0.5000  0.02